1.
First-principles (GGA-PBE) data for a relaxed Ba2Sn4PdAu3 crystal, as listed in Alexandria via LeMat-Bulk.

Properties
Formation energy from the elements   -622 meV per atom

Cell: 4.855 4.855 11.280 Å, 90.00 90.00 90.00°
Fractional positions:
Ba 0.000 0.500 0.241
Ba 0.500 0.000 0.759
Sn 0.000 0.000 0.500
Sn 0.000 0.500 0.883
Sn 0.500 0.000 0.117
Sn 0.500 0.500 0.500
Pd 0.500 0.500 0.000
Au 0.000 0.000 0.000
Au 0.000 0.500 0.636
Au 0.500 0.000 0.364

2.
First-principles (GGA-PBE) data for a relaxed RbSiTc2O8 crystal, as listed in Alexandria via LeMat-Bulk.

Properties
Formation energy (no corrections)   -1.567 eV per atom

Cell: 9.284 9.284 9.284 Å, 34.10 34.10 34.10°
Fractional positions:
Rb 0.000 0.000 0.000
Si 0.500 0.500 0.500
Tc 0.230 0.230 0.230
Tc 0.770 0.770 0.770
O 0.158 0.610 0.610
O 0.297 0.297 0.297
O 0.390 0.390 0.842
O 0.390 0.842 0.390
O 0.610 0.158 0.610
O 0.610 0.610 0.158
O 0.703 0.703 0.703
O 0.842 0.390 0.390

3.
First-principles (GGA-PBE) data for a relaxed KNa3Tl4 crystal, as listed in Alexandria via LeMat-Bulk.

Properties
Formation energy from the elements   -76 meV per atom

Cell: 11.242 7.192 6.129 Å, 90.00 90.00 90.00°
Fractional positions:
K 0.000 0.000 0.000
K 0.500 0.000 0.000
Na 0.000 0.500 0.000
Na 0.250 0.000 0.366
Na 0.250 0.500 0.316
Na 0.500 0.500 0.000
Na 0.750 0.000 0.634
Na 0.750 0.500 0.684
Tl 0.000 0.272 0.500
Tl 0.000 0.728 0.500
Tl 0.250 0.266 0.802
Tl 0.250 0.734 0.802
Tl 0.500 0.272 0.500
Tl 0.500 0.728 0.500
Tl 0.750 0.266 0.198
Tl 0.750 0.734 0.198

4.
First-principles (GGA-PBE) data for a relaxed TlCOF2 crystal, as listed in Alexandria via LeMat-Bulk.

Properties
Formation energy (no corrections)   -0.159 eV per atom

Cell: 4.672 4.672 2.938 Å, 90.00 90.00 90.00°
Fractional positions:
Tl 0.000 0.000 0.000
C 0.500 0.500 0.500
O 0.500 0.500 0.000
F 0.000 0.500 0.500
F 0.500 0.000 0.500

5.
First-principles (GGA-PBE) data for a relaxed Pr3Cu2NiPd9 crystal, as listed in Alexandria via LeMat-Bulk.

Properties
Formation energy from the elements   -283 meV per atom

Cell: 5.681 5.681 11.357 Å, 90.00 90.00 120.00°
Fractional positions:
Pr 0.000 0.000 0.000
Pr 0.333 0.667 0.750
Pr 0.667 0.333 0.250
Cu 0.333 0.667 0.169
Cu 0.667 0.333 0.831
Ni 0.000 0.000 0.500
Pd 0.000 0.500 0.000
Pd 0.167 0.334 0.338
Pd 0.167 0.833 0.338
Pd 0.334 0.167 0.662
Pd 0.500 0.000 0.000
Pd 0.500 0.500 0.000
Pd 0.666 0.833 0.338
Pd 0.833 0.167 0.662
Pd 0.833 0.666 0.662

6.
First-principles (GGA-PBE) data for a relaxed Si2TcSe crystal, as listed in Alexandria via LeMat-Bulk.

Properties
Formation energy (no corrections)   0.401 eV per atom

Cell: 2.932 4.945 9.271 Å, 90.00 90.00 90.00°
Fractional positions:
Si 0.000 0.000 0.000
Si 0.000 0.500 0.224
Si 0.500 0.000 0.224
Si 0.500 0.500 0.000
Tc 0.000 0.500 0.786
Tc 0.500 0.000 0.786
Se 0.000 0.000 0.561
Se 0.500 0.500 0.561

7.
First-principles (GGA-PBE) data for a relaxed Ba5Ac crystal, as listed in Alexandria via LeMat-Bulk.

Properties
Formation energy from the elements   75 meV per atom

Cell: 6.167 18.462 6.143 Å, 90.00 90.00 90.00°
Fractional positions:
Ba 0.000 0.000 0.000
Ba 0.000 0.162 0.500
Ba 0.000 0.338 0.000
Ba 0.000 0.662 0.000
Ba 0.000 0.838 0.500
Ba 0.500 0.162 0.000
Ba 0.500 0.338 0.500
Ba 0.500 0.500 0.000
Ba 0.500 0.662 0.500
Ba 0.500 0.838 0.000
Ac 0.000 0.500 0.500
Ac 0.500 0.000 0.500

8.
First-principles (GGA-PBE) data for a relaxed K6Cl3O crystal, as listed in Alexandria via LeMat-Bulk.

Properties
Formation energy (no corrections)   -1.447 eV per atom

Cell: 8.737 8.737 8.737 Å, 90.89 90.89 90.89°
Fractional positions:
K 0.055 0.929 0.717
K 0.071 0.283 0.945
K 0.217 0.429 0.555
K 0.283 0.945 0.071
K 0.429 0.555 0.217
K 0.445 0.783 0.571
K 0.555 0.217 0.429
K 0.571 0.445 0.783
K 0.717 0.055 0.929
K 0.783 0.571 0.445
K 0.929 0.717 0.055
K 0.945 0.071 0.283
Cl 0.119 0.750 0.381
Cl 0.250 0.619 0.881
Cl 0.381 0.119 0.750
Cl 0.619 0.881 0.250
Cl 0.750 0.381 0.119
Cl 0.881 0.250 0.619
O 0.000 0.000 0.000
O 0.500 0.500 0.500

Calculated volume in order - 26.59 18.69 30.97 12.83 21.17 16.80 58.28 33.33 Å³ per atom